1.
A plane-wave DFT calculation with PBE was carried out for an optimized crystal structure of Ac2CuSb3Ir4.

Cell: 4.4676 4.4676 10.9697 Å, 90.00 90.00 90.00°
With the nearest neighbours (Å) after each atom.
Space group P-4m2 (No. 115)
Symmetry-distinct sites (fractional):
Ac1 0.0000 0.5000 0.2369 x2  8 Ir 3.38-3.65, 2 Cu 3.43, 6 Sb 3.43-3.46
Cu1 0.5000 0.5000 0.0000 x1  4 Ir 2.64
Sb1 0.0000 0.0000 0.0000 x1  4 Ir 2.64
Sb2 0.0000 0.5000 0.6349 x2  5 Ir 2.60-2.68
Ir1 0.0000 0.0000 0.5000 x1  4 Sb 2.68
Ir2 0.0000 0.5000 0.8716 x2  3 Sb 2.60-2.64, 2 Cu 2.64
Ir3 0.5000 0.5000 0.5000 x1  4 Sb 2.68

Summary:
Formation energy (no corrections)   -0.5569 eV/atom
V   219 Å³ per cell

---

2.
A plane-wave DFT calculation with PBE was carried out for an optimized crystal structure of Ac2CuSb4Ir3.

Cell: 4.6993 4.6993 10.4466 Å, 90.00 90.00 90.00°
With the nearest neighbours (Å) after each atom.
Space group P-4m2 (No. 115)
Symmetry-distinct sites (fractional):
Ac1 0.0000 0.5000 0.2427 x2  2 Cu 3.46, 6 Ir 3.46-3.62, 9 Sb 3.54-3.86
Cu1 0.5000 0.5000 0.0000 x1  4 Sb 2.70
Sb1 0.0000 0.0000 0.5000 x1  4 Ir 2.66
Sb2 0.0000 0.5000 0.8735 x2  3 Ir 2.65-2.70, 2 Cu 2.70
Sb3 0.5000 0.5000 0.5000 x1  4 Ir 2.66
Ir1 0.0000 0.0000 0.0000 x1  4 Sb 2.70
Ir2 0.0000 0.5000 0.6198 x2  5 Sb 2.65-2.66

Summary:
Formation energy (no corrections)   -0.6329 eV/atom
V   231 Å³ per cell

---

3.
A plane-wave DFT calculation with PBE was carried out for an optimized crystal structure of Ac2Cu3Sb4Ir.

Cell: 4.7246 4.7246 10.3954 Å, 90.00 90.00 90.00°
With the nearest neighbours (Å) after each atom.
Space group P-4m2 (No. 115)
Symmetry-distinct sites (fractional):
Ac1 0.0000 0.5000 0.2342 x2  2 Ir 3.39, 6 Cu 3.39-3.64, 9 Sb 3.53-3.72
Cu1 0.0000 0.0000 0.0000 x1  4 Sb 2.69
Cu2 0.0000 0.5000 0.6271 x2  5 Sb 2.59-2.71
Sb1 0.0000 0.0000 0.5000 x1  4 Cu 2.71
Sb2 0.0000 0.5000 0.8760 x2  3 Cu 2.59-2.69, 2 Ir 2.69
Sb3 0.5000 0.5000 0.5000 x1  4 Cu 2.71
Ir1 0.5000 0.5000 0.0000 x1  4 Sb 2.69

Summary:
Formation energy (no corrections)   -0.5130 eV/atom
V   232 Å³ per cell

---

Question: The highest V belongs to which entry?
Answer: Ac2Cu3Sb4Ir